Compound: V3CdS
Source: Alexandria via LeMat-Bulk
Functional: GGA-PBE
Structure: relaxed

As for the volume: 24.30 Å³/atom. The calculation puts the distance to the lowest polymorph of the same formula at 1.700 eV/atom.

Cell lengths 4.9531, 4.9531, 4.9531 Å; angles 90.00, 90.00, 90.00 degrees
With the nearest neighbours (Å) after each atom.
Space group Pm-3m (No. 221)
One atom of each set of equivalent atoms:
V  0.0000  0.0000  0.5000 x3  2 Cd 2.48
Cd  0.0000  0.0000  0.0000 x1  6 V 2.48
S  0.5000  0.5000  0.5000 x1  12 V 3.50